Record 1
ScMnFeMo | PBE | relaxed

a = 4.2858 Å, b = 4.2858 Å, c = 4.2858 Å
α = 60.00°, β = 60.00°, γ = 60.00°
Closest atoms and distances in Å follow each position.
Positions (direct):
Sc: 0.0000 0.0000 0.0000  4 Mn 2.62, 4 Fe 2.62
Mn: 0.2500 0.2500 0.2500  4 Mo 2.62, 4 Sc 2.62
Fe: 0.7500 0.7500 0.7500  4 Mo 2.62, 4 Sc 2.62
Mo: 0.5000 0.5000 0.5000  4 Fe 2.62, 4 Mn 2.62

Results
Its formation energy is 0.01 eV/atom. The calculation puts the volume at 56 Å³/cell. The value obtained for the size of the total moment is 0.0 μB per cell. The density of states at the Fermi level is 1.8 states/eV/f.u.



Record 2
MoAsP2 | PBE | relaxed

a = 3.0818 Å, b = 3.0818 Å, c = 7.2557 Å
α = 90.00°, β = 90.00°, γ = 90.00°
Closest atoms and distances in Å follow each position.
Positions (direct):
Mo: 0.0000 0.0000 0.0000  5 P 2.52, 4 As 2.76
As: 0.5000 0.5000 0.7654  4 Mo 2.76, 1 P 2.98, 4 As 3.08
P: 0.0000 0.0000 0.3471  4 P 2.51, 1 Mo 2.52
P: 0.5000 0.5000 0.1756  4 P 2.51, 4 Mo 2.52

Results
Its formation energy is -0.01 eV/atom. The calculation puts the volume at 69 Å³/cell. The value obtained for the size of the total moment is 0.0 μB per cell. The density of states at the Fermi level is 1.7 states/eV/f.u.



Record 3
K2MoP | PBE | relaxed

a = 10.4241 Å, b = 10.4241 Å, c = 3.7936 Å
α = 100.22°, β = 100.22°, γ = 17.20°
Closest atoms and distances in Å follow each position.
Positions (direct):
K: 0.1472 0.1472 0.1435  2 K 3.12, 2 P 3.37
K: 0.8528 0.8528 0.8565  2 K 3.12, 2 P 3.37
Mo: 0.0000 0.0000 0.5000  4 P 2.45
P: 0.5000 0.5000 0.0000  4 Mo 2.45

Results
Its formation energy is 0.25 eV/atom. The calculation puts the volume at 120 Å³/cell. The value obtained for the size of the total moment is 0.4 μB per cell. The density of states at the Fermi level is 3.3 states/eV/f.u.



Record 4
BaAgOs2 | PBE | relaxed

a = 5.8455 Å, b = 5.8455 Å, c = 5.8455 Å
α = 139.35°, β = 139.35°, γ = 58.84°
Closest atoms and distances in Å follow each position.
Positions (direct):
Ba: 0.0000 0.0000 0.0000  4 Ag 2.87
Ag: 0.5000 0.5000 0.0000  4 Ba 2.87
Os: 0.2500 0.7500 0.5000  4 Os 2.87
Os: 0.7500 0.2500 0.5000  4 Os 2.87

Results
Its formation energy is 1.42 eV/atom. The calculation puts the volume at 84 Å³/cell. The value obtained for the size of the total moment is 0.9 μB per cell. The density of states at the Fermi level is 5.4 states/eV/f.u.